(1)
La2Ti2Ag | GGA-PBE | optimized geometry

The calculation puts the volume at 123 Å³/f.u. The symmetry is P4/mbm, No. 127. The value obtained for the formation energy is 332 meV/atom.

a = 8.4578 Å, b = 8.4578 Å, c = 3.4436 Å
α = 90.00°, β = 90.00°, γ = 90.00°
Sites, in units of the cell vectors:
Ag  0.5000  0.5000  0.0000
Ag  0.0000  0.0000  0.0000
Ti  0.1059  0.3941  0.0000
Ti  0.6059  0.1059  0.0000
Ti  0.3941  0.8941  0.0000
Ti  0.8941  0.6059  0.0000
La  0.3016  0.1984  0.5000
La  0.8016  0.3016  0.5000
La  0.1984  0.6984  0.5000
La  0.6984  0.8016  0.5000

***

(2)
AcHgI2O8 | GGA-PBE | optimized geometry

The calculation puts the volume at 217 Å³/f.u. The symmetry is I-4m2, No. 119. The uncorrected formation energy is -0.780 eV per atom.

a = 6.5664 Å, b = 6.5664 Å, c = 6.5664 Å
α = 107.88°, β = 107.88°, γ = 112.70°
Each line ends with the local moment (μB).
Sites, in units of the cell vectors:
O  0.3220  0.5094  0.1874  0.02
O  0.4906  0.6780  0.8126  0.02
O  0.3220  0.1347  0.8126  0.02
O  0.3932  0.0784  0.3148  0.11
O  0.8653  0.6780  0.1874  0.02
O  0.9216  0.2364  0.3148  0.11
O  0.7636  0.0784  0.6852  0.11
O  0.9216  0.6068  0.6852  0.11
Ac  0.0000  0.0000  0.0000  0.03
I  0.7500  0.2500  0.5000  0.06
I  0.5000  0.5000  0.0000  0.01
Hg  0.2500  0.7500  0.5000  0.00

***

(3)
SiN | GGA-PBE | optimized geometry

The calculation puts the volume at 25 Å³/f.u. The symmetry is I-43m, No. 217. The uncorrected formation energy is 0.282 eV per atom.

a = 5.8429 Å, b = 5.8429 Å, c = 5.8429 Å
α = 90.00°, β = 90.00°, γ = 90.00°
Sites, in units of the cell vectors:
N  0.8454  0.1546  0.8454
N  0.1546  0.8454  0.8454
N  0.3454  0.6546  0.3454
N  0.1546  0.1546  0.1546
N  0.6546  0.3454  0.3454
N  0.8454  0.8454  0.1546
N  0.3454  0.3454  0.6546
N  0.6546  0.6546  0.6546
Si  0.1692  0.8308  0.1692
Si  0.6692  0.6692  0.3308
Si  0.6692  0.3308  0.6692
Si  0.3308  0.3308  0.3308
Si  0.1692  0.1692  0.8308
Si  0.3308  0.6692  0.6692
Si  0.8308  0.8308  0.8308
Si  0.8308  0.1692  0.1692

***

(4)
Co2NiBr | GGA-PBE | optimized geometry

The calculation puts the volume at 58 Å³/f.u. The symmetry is P4/mmm, No. 123. The uncorrected formation energy is 0.523 eV per atom.

a = 3.0890 Å, b = 3.0890 Å, c = 6.0759 Å
α = 90.00°, β = 90.00°, γ = 90.00°
Each line ends with the local moment (μB).
Sites, in units of the cell vectors:
Br  0.5000  0.5000  0.7500  0.12
Ni  0.5000  0.5000  0.2500  0.78
Co  0.0000  0.0000  0.0567  1.91
Co  0.0000  0.0000  0.4433  1.91

***

(5)
Zr11Ag4Hg9 | GGA-PBE | optimized geometry

The calculation puts the volume at 509 Å³/f.u. The symmetry is Cmmm, No. 65. The value obtained for the formation energy is -75 meV/atom.

a = 3.1452 Å, b = 13.2717 Å, c = 13.2717 Å
α = 113.20°, β = 90.00°, γ = 90.00°
Sites, in units of the cell vectors:
Ag  0.5000  0.7573  0.5554
Ag  0.5000  0.5554  0.7573
Ag  0.5000  0.2427  0.4446
Ag  0.5000  0.4446  0.2427
Zr  0.0000  0.3670  0.6330
Zr  0.0000  0.1617  0.8383
Zr  0.0000  0.0463  0.4055
Zr  0.0000  0.2857  0.2857
Zr  0.0000  0.9537  0.5945
Zr  0.0000  0.0000  0.0000
Zr  0.0000  0.4055  0.0463
Zr  0.0000  0.5945  0.9537
Zr  0.0000  0.7143  0.7143
Zr  0.0000  0.8383  0.1617
Zr  0.0000  0.6330  0.3670
Hg  0.5000  0.7869  0.9369
Hg  0.5000  0.0631  0.2131
Hg  0.5000  0.9369  0.7869
Hg  0.5000  0.2131  0.0631
Hg  0.5000  0.6301  0.1621
Hg  0.5000  0.1621  0.6301
Hg  0.5000  0.3699  0.8379
Hg  0.5000  0.8379  0.3699
Hg  0.5000  0.5000  0.5000

***

(6)
ZnPt2Rh | GGA-PBE | optimized geometry

The calculation puts the volume at 60 Å³/f.u. The symmetry is P2/m, No. 10. The value obtained for the formation energy is -241 meV/atom.

a = 3.9036 Å, b = 2.7743 Å, c = 6.1561 Å
α = 63.33°, β = 90.00°, γ = 90.00°
Each line ends with the local moment (μB).
Sites, in units of the cell vectors:
Pt  0.0000  0.0000  0.9996  0.11
Pt  0.0000  0.5000  0.5004  0.11
Zn  0.5000  0.7500  0.7500  0.00
Rh  0.5000  0.2500  0.2500  0.36

***

(7)
SrLiNdAl | GGA-PBE | optimized geometry

The calculation puts the volume at 117 Å³/f.u. The symmetry is F-43m, No. 216. The value obtained for the formation energy is -79 meV/atom.

a = 5.4949 Å, b = 5.4949 Å, c = 5.4949 Å
α = 60.00°, β = 60.00°, γ = 60.00°
Sites, in units of the cell vectors:
Al  0.0000  0.0000  0.0000
Nd  0.7500  0.7500  0.7500
Li  0.5000  0.5000  0.5000
Sr  0.2500  0.2500  0.2500

***

(8)
Sc3Te | GGA-PBE | optimized geometry

The calculation puts the volume at 95 Å³/f.u. The symmetry is Cmmm, No. 65. The uncorrected formation energy is -0.358 eV per atom.

a = 5.3110 Å, b = 5.3110 Å, c = 3.5781 Å
α = 90.00°, β = 90.00°, γ = 109.04°
Each line ends with the local moment (μB).
Sites, in units of the cell vectors:
Sc  0.5000  0.5000  0.0000  0.22
Sc  0.5000  0.0000  0.5000  0.34
Sc  0.0000  0.5000  0.5000  0.34
Te  0.0000  0.0000  0.0000  -0.01

***

(9)
Tb2PmDy3Se6 | GGA-PBE | optimized geometry

The calculation puts the volume at 293 Å³/f.u. The symmetry is C2/m, No. 12. The uncorrected formation energy is -1.773 eV per atom.

a = 7.1031 Å, b = 7.1031 Å, c = 7.1239 Å
α = 99.53°, β = 99.53°, γ = 120.30°
Sites, in units of the cell vectors:
Se  0.2550  0.2550  0.7471
Se  0.9149  0.5752  0.7440
Se  0.7450  0.7450  0.2529
Se  0.4248  0.0851  0.2560
Se  0.5752  0.9149  0.7440
Se  0.0851  0.4248  0.2560
Dy  0.1624  0.8376  0.5000
Dy  0.5000  0.5000  0.5000
Dy  0.8376  0.1624  0.5000
Tb  0.3341  0.6659  0.0000
Tb  0.6659  0.3341  0.0000
Pm  0.0000  0.0000  0.0000

***

(10)
Ti3Al3V2 | GGA-PBE | optimized geometry

The calculation puts the volume at 124 Å³/f.u. The symmetry is C2/m, No. 12. The value obtained for the formation energy is -262 meV/atom.

a = 3.3882 Å, b = 4.2457 Å, c = 9.0460 Å
α = 103.52°, β = 100.79°, γ = 90.00°
Sites, in units of the cell vectors:
Al  0.1359  0.6362  0.2717
Al  0.8641  0.3638  0.7283
Al  0.0000  0.0000  0.0000
V  0.7552  0.7555  0.5105
V  0.2448  0.2445  0.4895
Ti  0.3735  0.8731  0.7470
Ti  0.6265  0.1269  0.2530
Ti  0.5000  0.5000  0.0000

***

(11)
KZnGa2Au4 | GGA-PBE | optimized geometry

The calculation puts the volume at 175 Å³/f.u. The symmetry is R-3m, No. 166. The value obtained for the formation energy is -211 meV/atom.

a = 4.4643 Å, b = 4.4643 Å, c = 10.4829 Å
α = 77.71°, β = 77.71°, γ = 60.00°
Sites, in units of the cell vectors:
Zn  0.5000  0.5000  0.5000
Au  0.4131  0.4131  0.7606
Au  0.8621  0.8621  0.4136
Au  0.1379  0.1379  0.5864
Au  0.5869  0.5869  0.2394
Ga  0.7547  0.7547  0.7360
Ga  0.2453  0.2453  0.2640
K  0.0000  0.0000  0.0000

***

(12)
ScTi2AlO | GGA-PBE | optimized geometry

The calculation puts the volume at 75 Å³/f.u. The symmetry is P4/mmm, No. 123. The uncorrected formation energy is -1.266 eV per atom.

a = 4.1255 Å, b = 4.1255 Å, c = 4.4014 Å
α = 90.00°, β = 90.00°, γ = 90.00°
Sites, in units of the cell vectors:
Sc  0.0000  0.0000  0.5000
Ti  0.5000  0.0000  0.0000
Ti  0.0000  0.5000  0.0000
Al  0.5000  0.5000  0.5000
O  0.0000  0.0000  0.0000

***

Look up the volume of the first one.
123 Å³/f.u.

***

Which value of volume does entry 9 give?
293 Å³/f.u.

***

Look up the volume of the sixth one.
60 Å³/f.u.

***

Among the records above, which one has the highest volume?
Zr11Ag4Hg9